No. 1
A geometry-optimized RbPbCl3 structure, computed with PBE.

Geometry as POSCAR:
```
RbPbCl3
1.0
7.659 0.000 0.000
-3.830 6.633 0.000
0.000 0.000 11.913
Rb Pb Cl
3 3 9
direct
0.000 0.000 0.000
0.333 0.667 0.667
0.667 0.333 0.333
0.000 0.000 0.352
0.333 0.667 0.018
0.667 0.333 0.685
0.169 0.337 0.460
0.169 0.831 0.460
0.329 0.165 0.793
0.502 0.004 0.126
0.502 0.498 0.126
0.663 0.831 0.460
0.835 0.165 0.793
0.835 0.671 0.793
0.996 0.498 0.126
```

Calculated values
Fermi-level density of states   0.000 states/eV/atom
VASP energy   -3.3567 eV per atom
Magnetic moment   0.00 μB/f.u.
SG   R3m (160)

No. 2
A geometry-optimized RbPbCl3 structure, computed with PBE.

Geometry as POSCAR:
```
RbPbCl3
1.0
7.997 -2.756 0.000
7.997 2.756 0.000
-1.015 0.000 8.718
Rb Pb Cl
2 2 6
direct
0.131 0.131 0.376
0.869 0.869 0.624
0.371 0.371 0.088
0.629 0.629 0.912
0.171 0.171 0.993
0.335 0.335 0.390
0.458 0.458 0.794
0.542 0.542 0.206
0.665 0.665 0.610
0.829 0.829 0.007
```

Calculated values
Fermi-level density of states   0.000 states/eV/atom
VASP energy   -3.5193 eV per atom
Magnetic moment   0.00 μB/f.u.
SG   C2/m (12)

No. 3
A geometry-optimized RbPb3Cl structure, computed with PBE.

Geometry as POSCAR:
```
RbPb3Cl
1.0
6.406 0.000 0.000
0.000 6.406 0.000
0.000 0.000 6.406
Rb Pb Cl
1 3 1
direct
0.000 0.000 0.000
0.000 0.000 0.500
0.000 0.500 0.000
0.500 0.000 0.000
0.500 0.500 0.500
```

Calculated values
Fermi-level density of states   2.282 states/eV/atom
VASP energy   -1.8106 eV per atom
Relative energy among the computed polymorphs   913 meV per atom
Magnetic moment   1.66 μB/f.u.
SG   Pm-3m (221)

No. 4
A geometry-optimized RbPb3Cl structure, computed with PBE.

Geometry as POSCAR:
```
RbPb3Cl
1.0
5.800 0.000 0.000
0.000 5.800 0.000
0.000 0.000 5.800
Rb Pb Cl
1 3 1
direct
0.000 0.000 0.000
0.000 0.500 0.500
0.500 0.000 0.500
0.500 0.500 0.000
0.500 0.500 0.500
```

Calculated values
Fermi-level density of states   0.662 states/eV/atom
VASP energy   -2.7234 eV per atom
Relative energy among the computed polymorphs   0 meV per atom
Magnetic moment   0.00 μB/f.u.
SG   Pm-3m (221)

No. 5
A geometry-optimized RbPbCl3 structure, computed with PBE.

Geometry as POSCAR:
```
RbPbCl3
1.0
-3.163 3.163 9.678
3.163 -3.163 9.678
3.163 3.163 -9.678
Rb Pb Cl
2 2 6
direct
0.100 0.100 0.000
0.900 0.900 0.000
0.500 0.500 0.000
0.750 0.250 0.500
0.033 0.533 0.500
0.121 0.363 0.758
0.467 0.967 0.500
0.604 0.363 0.242
0.637 0.396 0.758
0.637 0.879 0.242
```

Calculated values
Fermi-level density of states   0.000 states/eV/atom
VASP energy   -3.2748 eV per atom
Magnetic moment   0.00 μB/f.u.
SG   I-4m2 (119)

No. 6
A geometry-optimized RbPbCl3 structure, computed with PBE.

Geometry as POSCAR:
```
RbPbCl3
1.0
8.951 -2.338 0.000
8.951 2.338 0.000
-1.665 0.000 9.530
Rb Pb Cl
2 2 6
direct
0.124 0.124 0.384
0.876 0.876 0.616
0.349 0.349 0.147
0.651 0.651 0.853
0.057 0.057 0.741
0.185 0.185 0.072
0.311 0.311 0.405
0.689 0.689 0.595
0.815 0.815 0.928
0.943 0.943 0.259
```

Calculated values
Fermi-level density of states   0.000 states/eV/atom
VASP energy   -3.4890 eV per atom
Magnetic moment   0.00 μB/f.u.
SG   C2/m (12)

No. 7
A geometry-optimized Rb4PbCl6 structure, computed with PBE.

Geometry as POSCAR:
```
Rb4PbCl6
1.0
6.507 3.757 5.344
-6.507 3.757 5.344
0.000 -7.513 5.344
Rb Pb Cl
8 2 12
direct
0.124 0.750 0.376
0.250 0.250 0.250
0.250 0.624 0.876
0.376 0.124 0.750
0.624 0.876 0.250
0.750 0.376 0.124
0.750 0.750 0.750
0.876 0.250 0.624
0.000 0.000 0.000
0.500 0.500 0.500
0.058 0.926 0.699
0.074 0.301 0.942
0.199 0.426 0.558
0.301 0.942 0.074
0.426 0.558 0.199
0.442 0.801 0.574
0.558 0.199 0.426
0.574 0.442 0.801
0.699 0.058 0.926
0.801 0.574 0.442
0.926 0.699 0.058
0.942 0.074 0.301
```

Calculated values
Fermi-level density of states   0.000 states/eV/atom
VASP energy   -3.4411 eV per atom
Magnetic moment   0.00 μB/f.u.
SG   R-3c (167)

No. 8
A geometry-optimized Rb5Pb6Cl16 structure, computed with PBE.

Geometry as POSCAR:
```
Rb5Pb6Cl16
1.0
12.416 0.000 0.000
0.000 12.416 0.000
0.000 0.000 10.795
Rb Pb Cl
10 12 32
direct
0.000 0.000 0.000
0.122 0.378 0.000
0.138 0.362 0.500
0.362 0.862 0.500
0.378 0.878 0.000
0.500 0.500 0.000
0.622 0.122 0.000
0.638 0.138 0.500
0.862 0.638 0.500
0.878 0.622 0.000
0.000 0.000 0.348
0.000 0.000 0.652
0.175 0.675 0.267
0.175 0.675 0.733
0.325 0.175 0.267
0.325 0.175 0.733
0.500 0.500 0.348
0.500 0.500 0.652
0.675 0.825 0.267
0.675 0.825 0.733
0.825 0.325 0.267
0.825 0.325 0.733
0.000 0.500 0.281
0.000 0.500 0.719
0.086 0.783 0.500
0.100 0.190 0.217
0.100 0.190 0.783
0.147 0.647 0.000
0.190 0.900 0.217
0.190 0.900 0.783
0.217 0.086 0.500
0.283 0.586 0.500
0.310 0.400 0.217
0.310 0.400 0.783
0.353 0.147 0.000
0.400 0.690 0.217
0.400 0.690 0.783
0.414 0.283 0.500
0.500 0.000 0.281
0.500 0.000 0.719
0.586 0.717 0.500
0.600 0.310 0.217
0.600 0.310 0.783
0.647 0.853 0.000
0.690 0.600 0.217
0.690 0.600 0.783
0.717 0.414 0.500
0.783 0.914 0.500
0.810 0.100 0.217
0.810 0.100 0.783
0.853 0.353 0.000
0.900 0.810 0.217
0.900 0.810 0.783
0.914 0.217 0.500
```

Calculated values
Fermi-level density of states   0.052 states/eV/atom
VASP energy   -3.4954 eV per atom
Magnetic moment   0.96 μB/f.u.
SG   P4/mbm (127)

No. 9
A geometry-optimized RbPbCl3 structure, computed with PBE.

Geometry as POSCAR:
```
RbPbCl3
1.0
5.076 0.000 0.000
-2.538 4.396 0.000
0.000 0.000 17.638
Rb Pb Cl
2 2 6
direct
0.000 0.000 0.000
0.000 0.000 0.500
0.333 0.667 0.250
0.667 0.333 0.750
0.000 0.000 0.250
0.000 0.000 0.750
0.333 0.667 0.092
0.333 0.667 0.408
0.667 0.333 0.592
0.667 0.333 0.908
```

Calculated values
Fermi-level density of states   0.000 states/eV/atom
VASP energy   -3.4786 eV per atom
Magnetic moment   0.00 μB/f.u.
SG   P6_3/mmc (194)

No. 10
A geometry-optimized RbPbCl3 structure, computed with PBE.

Geometry as POSCAR:
```
RbPbCl3
1.0
3.942 -10.746 0.000
3.942 10.746 0.000
0.000 0.000 6.854
Rb Pb Cl
2 2 6
direct
0.199 0.801 0.750
0.801 0.199 0.250
0.400 0.600 0.750
0.600 0.400 0.250
0.052 0.421 0.750
0.421 0.052 0.250
0.500 0.500 0.000
0.500 0.500 0.500
0.579 0.948 0.750
0.948 0.579 0.250
```

Calculated values
Fermi-level density of states   0.000 states/eV/atom
VASP energy   -3.3515 eV per atom
Magnetic moment   0.00 μB/f.u.
SG   Cmcm (63)